This record from Alexandria describes a relaxed Tb3Pm2Au7 crystal. The functional is GGA-PBE. Values from VASP.

Values from the calculation:
DOS at the Fermi energy = 6.33 states/eV/cell
ΔE_f = -0.674 eV/atom
spin magnetization = 0.000 μB per formula unit

Quantum ESPRESSO input file:
```
&SYSTEM
  ibrav = 0, nat = 12, ntyp = 3
/
ATOMIC_SPECIES
Tb 158.93 Tb.upf
Pm 145.00 Pm.upf
Au 196.97 Au.upf
CELL_PARAMETERS angstrom
-1.881 -4.752 1.375
2.688 0.210 4.400
-9.827 4.687 2.754
ATOMIC_POSITIONS crystal
Tb 0.500 0.500 0.000
Tb 0.500 0.662 0.324
Tb 0.500 0.338 0.676
Pm 0.000 0.857 0.715
Pm 0.000 0.143 0.285
Au 0.000 0.428 0.856
Au 0.000 0.719 0.439
Au 0.000 0.000 0.000
Au 0.000 0.572 0.144
Au 0.500 0.083 0.166
Au 0.500 0.917 0.834
Au 0.000 0.281 0.561
```


This record from Alexandria describes a relaxed Tb4PmAu4 crystal. The functional is GGA-PBE. Values from VASP.

Values from the calculation:
DOS at the Fermi energy = 20.85 states/eV/cell
ΔE_f = -0.604 eV/atom
spin magnetization = 0.000 μB per formula unit

Quantum ESPRESSO input file:
```
&SYSTEM
  ibrav = 0, nat = 18, ntyp = 3
/
ATOMIC_SPECIES
Tb 158.93 Tb.upf
Pm 145.00 Pm.upf
Au 196.97 Au.upf
CELL_PARAMETERS angstrom
5.988 0.000 0.000
0.000 9.275 0.000
0.000 0.000 9.275
ATOMIC_POSITIONS crystal
Tb 0.414 0.320 0.905
Tb 0.914 0.595 0.820
Tb 0.414 0.680 0.095
Tb 0.086 0.180 0.595
Tb 0.586 0.905 0.680
Tb 0.086 0.820 0.405
Tb 0.914 0.405 0.180
Tb 0.586 0.095 0.320
Pm 0.000 0.000 0.000
Pm 0.500 0.500 0.500
Au 0.592 0.788 0.377
Au 0.592 0.212 0.623
Au 0.092 0.877 0.712
Au 0.908 0.288 0.877
Au 0.908 0.712 0.123
Au 0.408 0.377 0.212
Au 0.408 0.623 0.788
Au 0.092 0.123 0.288
```


This record from Alexandria describes a relaxed TbPmAu4 crystal. The functional is GGA-PBE. Values from VASP.

Values from the calculation:
DOS at the Fermi energy = 1.60 states/eV/cell
ΔE_f = -0.823 eV/atom
spin magnetization = 0.000 μB per formula unit

Quantum ESPRESSO input file:
```
&SYSTEM
  ibrav = 0, nat = 6, ntyp = 3
/
ATOMIC_SPECIES
Tb 158.93 Tb.upf
Pm 145.00 Pm.upf
Au 196.97 Au.upf
CELL_PARAMETERS angstrom
-2.402 0.968 -2.783
-0.607 -3.676 -0.755
-6.951 -0.074 5.982
ATOMIC_POSITIONS crystal
Tb 0.000 0.000 0.000
Pm 0.500 0.500 0.500
Au 0.500 0.500 0.162
Au 0.500 0.500 0.838
Au 0.000 0.000 0.669
Au 0.000 0.000 0.331
```


This record from Alexandria describes a relaxed TbPm3Au7 crystal. The functional is GGA-PBE. Values from VASP.

Values from the calculation:
DOS at the Fermi energy = 10.75 states/eV/cell
ΔE_f = -0.721 eV/atom
spin magnetization = 0.000 μB per formula unit

Quantum ESPRESSO input file:
```
&SYSTEM
  ibrav = 0, nat = 22, ntyp = 3
/
ATOMIC_SPECIES
Tb 158.93 Tb.upf
Pm 145.00 Pm.upf
Au 196.97 Au.upf
CELL_PARAMETERS angstrom
-1.296 3.896 -10.520
1.101 -7.184 8.644
-12.789 -0.117 1.532
ATOMIC_POSITIONS crystal
Tb 0.002 0.998 0.250
Tb 0.998 0.002 0.750
Pm 0.858 0.142 0.444
Pm 0.142 0.858 0.556
Pm 0.813 0.187 0.750
Pm 0.187 0.813 0.250
Pm 0.858 0.142 0.056
Pm 0.142 0.858 0.944
Au 0.620 0.380 0.750
Au 0.380 0.620 0.250
Au 0.464 0.536 0.418
Au 0.536 0.464 0.582
Au 0.536 0.464 0.918
Au 0.464 0.536 0.082
Au 0.595 0.405 0.365
Au 0.405 0.595 0.635
Au 0.722 0.278 0.430
Au 0.278 0.722 0.570
Au 0.278 0.722 0.930
Au 0.722 0.278 0.070
Au 0.595 0.405 0.135
Au 0.405 0.595 0.865
```


This record from Alexandria describes a relaxed Tb2Pm2Au3 crystal. The functional is GGA-PBE. Values from VASP.

Values from the calculation:
DOS at the Fermi energy = 18.49 states/eV/cell
ΔE_f = -0.640 eV/atom
spin magnetization = 0.000 μB per formula unit

Quantum ESPRESSO input file:
```
&SYSTEM
  ibrav = 0, nat = 14, ntyp = 3
/
ATOMIC_SPECIES
Tb 158.93 Tb.upf
Pm 145.00 Pm.upf
Au 196.97 Au.upf
CELL_PARAMETERS angstrom
-1.980 -3.171 6.908
6.634 -3.309 -2.594
1.101 7.727 0.885
ATOMIC_POSITIONS crystal
Tb 0.000 0.000 0.863
Tb 0.500 0.863 0.500
Tb 0.137 0.637 0.637
Tb 0.363 0.500 0.000
Pm 0.500 0.357 0.500
Pm 0.000 0.000 0.357
Pm 0.643 0.143 0.143
Pm 0.857 0.500 0.000
Au 0.750 0.634 0.384
Au 0.250 0.866 0.116
Au 0.616 0.750 0.866
Au 0.884 0.250 0.634
Au 0.366 0.116 0.750
Au 0.134 0.384 0.250
```


This record from Alexandria describes a relaxed Tb3Pm4Au4 crystal. The functional is GGA-PBE. Values from VASP.

Values from the calculation:
DOS at the Fermi energy = 11.67 states/eV/cell
ΔE_f = -0.527 eV/atom
spin magnetization = 0.000 μB per formula unit

Quantum ESPRESSO input file:
```
&SYSTEM
  ibrav = 0, nat = 11, ntyp = 3
/
ATOMIC_SPECIES
Tb 158.93 Tb.upf
Pm 145.00 Pm.upf
Au 196.97 Au.upf
CELL_PARAMETERS angstrom
-2.239 -2.364 -1.982
6.088 0.079 -6.971
2.177 -5.683 7.982
ATOMIC_POSITIONS crystal
Tb 0.102 0.102 0.203
Tb 0.898 0.898 0.797
Tb 0.000 0.500 0.000
Pm 0.339 0.153 0.678
Pm 0.661 0.475 0.322
Pm 0.661 0.847 0.322
Pm 0.339 0.525 0.678
Au 0.259 0.759 0.517
Au 0.741 0.241 0.483
Au 0.500 0.820 0.000
Au 0.500 0.180 0.000
```


This record from Alexandria describes a relaxed TbPmAu2 crystal. The functional is GGA-PBE. Values from VASP.

Values from the calculation:
DOS at the Fermi energy = 2.29 states/eV/cell
ΔE_f = -0.845 eV/atom
spin magnetization = 0.000 μB per formula unit

Quantum ESPRESSO input file:
```
&SYSTEM
  ibrav = 0, nat = 4, ntyp = 3
/
ATOMIC_SPECIES
Tb 158.93 Tb.upf
Pm 145.00 Pm.upf
Au 196.97 Au.upf
CELL_PARAMETERS angstrom
3.569 0.000 -1.301
0.000 4.745 0.000
0.124 0.000 5.897
ATOMIC_POSITIONS crystal
Tb 0.720 0.000 0.979
Pm 0.444 0.500 0.427
Au 0.171 0.500 0.881
Au 0.996 0.000 0.531
```


This record from Alexandria describes a relaxed Tb2PmAu2 crystal. The functional is GGA-PBE. Values from VASP.

Values from the calculation:
DOS at the Fermi energy = 10.78 states/eV/cell
ΔE_f = -0.681 eV/atom
spin magnetization = 0.000 μB per formula unit

Quantum ESPRESSO input file:
```
&SYSTEM
  ibrav = 0, nat = 10, ntyp = 3
/
ATOMIC_SPECIES
Tb 158.93 Tb.upf
Pm 145.00 Pm.upf
Au 196.97 Au.upf
CELL_PARAMETERS angstrom
3.821 0.000 0.000
0.000 8.270 0.000
0.000 0.000 8.270
ATOMIC_POSITIONS crystal
Tb 0.000 0.663 0.337
Tb 0.000 0.837 0.837
Tb 0.000 0.163 0.163
Tb 0.000 0.337 0.663
Pm 0.500 0.500 0.000
Pm 0.500 0.000 0.500
Au 0.500 0.370 0.370
Au 0.500 0.870 0.130
Au 0.500 0.130 0.870
Au 0.500 0.630 0.630
```


This record from Alexandria describes a relaxed Tb2PmAu crystal. The functional is GGA-PBE. Values from VASP.

Values from the calculation:
DOS at the Fermi energy = 5.44 states/eV/cell
ΔE_f = -0.277 eV/atom
spin magnetization = 0.000 μB per formula unit

Quantum ESPRESSO input file:
```
&SYSTEM
  ibrav = 0, nat = 4, ntyp = 3
/
ATOMIC_SPECIES
Tb 158.93 Tb.upf
Au 196.97 Au.upf
Pm 145.00 Pm.upf
CELL_PARAMETERS angstrom
3.713 0.000 0.000
1.856 3.215 0.000
1.856 1.072 10.112
ATOMIC_POSITIONS crystal
Tb 0.264 0.264 0.207
Tb 0.736 0.736 0.793
Au 0.000 0.000 0.000
Pm 0.500 0.500 0.500
```


This record from Alexandria describes a relaxed TbPm4Au5 crystal. The functional is GGA-PBE. Values from VASP.

Values from the calculation:
DOS at the Fermi energy = 5.48 states/eV/cell
ΔE_f = -0.799 eV/atom
spin magnetization = 0.000 μB per formula unit

Quantum ESPRESSO input file:
```
&SYSTEM
  ibrav = 0, nat = 10, ntyp = 3
/
ATOMIC_SPECIES
Tb 158.93 Tb.upf
Pm 145.00 Pm.upf
Au 196.97 Au.upf
CELL_PARAMETERS angstrom
3.652 0.000 0.000
0.000 3.652 0.000
0.000 0.000 18.637
ATOMIC_POSITIONS crystal
Tb 0.000 0.000 0.000
Pm 0.000 0.000 0.198
Pm 0.000 0.000 0.399
Pm 0.000 0.000 0.601
Pm 0.000 0.000 0.802
Au 0.500 0.500 0.094
Au 0.500 0.500 0.299
Au 0.500 0.500 0.500
Au 0.500 0.500 0.701
Au 0.500 0.500 0.906
```


This record from Alexandria describes a relaxed Tb3PmAu4 crystal. The functional is GGA-PBE. Values from VASP.

Values from the calculation:
DOS at the Fermi energy = 4.28 states/eV/cell
ΔE_f = -0.832 eV/atom
spin magnetization = 0.000 μB per formula unit

Quantum ESPRESSO input file:
```
&SYSTEM
  ibrav = 0, nat = 8, ntyp = 3
/
ATOMIC_SPECIES
Au 196.97 Au.upf
Tb 158.93 Tb.upf
Pm 145.00 Pm.upf
CELL_PARAMETERS angstrom
-4.743 -1.460 1.324
-1.335 -4.952 -0.281
0.542 -3.280 8.290
ATOMIC_POSITIONS crystal
Au 0.873 0.873 0.381
Au 0.378 0.378 0.866
Au 0.127 0.127 0.619
Au 0.622 0.622 0.134
Tb 0.249 0.249 0.252
Tb 0.751 0.751 0.748
Tb 0.500 0.500 0.500
Pm 0.000 0.000 0.000
```